1.
Sr2BeW2: relaxed, PBE-GGA.

**Density**: 6.72 Mg/m³
**Raw total energy**: -50.56 eV for the cell shown
**Space-group type**: P4/mbm (127)
**M_tot**: 0.00 Bohr magnetons per cell

Cell lengths 9.4129, 9.4129, 3.0784 Å; angles 90.00, 90.00, 90.00 degrees
With the nearest neighbours (Å) after each atom.
Element x y z (fractional)
Sr 0.2036 0.2964 0.0000  2 Sr 3.08, 6 W 3.21-3.31, 2 Be 3.38
Sr 0.2964 0.7964 0.0000  2 Sr 3.08, 6 W 3.21-3.31, 2 Be 3.38
Sr 0.7036 0.2036 0.0000  2 Sr 3.08, 6 W 3.21-3.31, 2 Be 3.38
Sr 0.7964 0.7036 0.0000  2 Sr 3.08, 6 W 3.21-3.31, 2 Be 3.38
Be 0.0000 0.0000 0.0000  2 Be 3.08, 4 Sr 3.38
Be 0.5000 0.5000 0.0000  2 Be 3.08, 4 Sr 3.38
W 0.0845 0.5845 0.5000  1 W 2.25
W 0.4155 0.0845 0.5000  1 W 2.25
W 0.5845 0.9155 0.5000  1 W 2.25
W 0.9155 0.4155 0.5000  1 W 2.25

2.
SrBe2W: relaxed, PBE-GGA.

**Density**: 6.44 Mg/m³
**Raw total energy**: -39.90 eV for the cell shown
**Space-group type**: Cm (8)
**M_tot**: 0.00 Bohr magnetons per cell

Cell lengths 6.6319, 3.8294, 6.2828 Å; angles 90.00, 110.67, 90.00 degrees
With the nearest neighbours (Å) after each atom.
Element x y z (fractional)
Sr 0.0000 0.0000 0.0000  7 Be 3.30-3.43, 4 W 3.34-3.37
Sr 0.5000 0.5000 0.0000  7 Be 3.30-3.43, 4 W 3.34-3.37
Be 0.0277 0.5000 0.5830  3 Be 2.21, 3 W 2.39
Be 0.1949 0.0000 0.5840  3 Be 2.21, 3 W 2.40
Be 0.5277 0.0000 0.5830  3 Be 2.21, 3 W 2.39
Be 0.6949 0.5000 0.5840  3 Be 2.21, 3 W 2.40
W 0.3088 0.5000 0.4265  6 Be 2.39-2.40
W 0.8088 0.0000 0.4265  6 Be 2.39-2.40

3.
SrBe2W: relaxed, PBE-GGA.

**Density**: 6.15 Mg/m³
**Raw total energy**: -58.45 eV for the cell shown
**Space-group type**: R-3m (166)
**M_tot**: 2.66 Bohr magnetons per cell

Cell lengths 4.0624, 4.0624, 16.4162 Å; angles 90.00, 90.00, 120.00 degrees
With the nearest neighbours (Å) after each atom.
Element x y z (fractional)
Sr 0.0000 0.0000 0.0000  8 Be 3.10-3.34
Sr 0.3333 0.6667 0.6667  8 Be 3.10-3.34
Sr 0.6667 0.3333 0.3333  8 Be 3.10-3.34
Be 0.0000 0.0000 0.1887  3 W 2.37, 3 Be 2.45
Be 0.0000 0.0000 0.8113  3 W 2.37, 3 Be 2.45
Be 0.3333 0.6667 0.4779  3 W 2.37, 3 Be 2.45
Be 0.3333 0.6667 0.8554  3 W 2.37, 3 Be 2.45
Be 0.6667 0.3333 0.1446  3 W 2.37, 3 Be 2.45
Be 0.6667 0.3333 0.5221  3 W 2.37, 3 Be 2.45
W 0.0000 0.0000 0.5000  6 Be 2.37
W 0.3333 0.6667 0.1667  6 Be 2.37
W 0.6667 0.3333 0.8333  6 Be 2.37

4.
Sr2BeW2: relaxed, PBE-GGA.

**Density**: 6.89 Mg/m³
**Raw total energy**: -56.15 eV for the cell shown
**Space-group type**: I4/mmm (139)
**M_tot**: 1.58 Bohr magnetons per cell

Cell lengths 3.6404, 3.6404, 20.0648 Å; angles 90.00, 90.00, 90.00 degrees
With the nearest neighbours (Å) after each atom.
Element x y z (fractional)
Sr 0.0000 0.0000 0.1010  4 Be 3.28, 4 W 3.50, 4 Sr 3.64
Sr 0.0000 0.0000 0.8990  4 Be 3.28, 4 W 3.50, 4 Sr 3.64
Sr 0.5000 0.5000 0.3990  4 Be 3.28, 4 W 3.50, 4 Sr 3.64
Sr 0.5000 0.5000 0.6010  4 Be 3.28, 4 W 3.50, 4 Sr 3.64
Be 0.0000 0.0000 0.5000  8 Sr 3.28, 4 Be 3.64
Be 0.5000 0.5000 0.0000  8 Sr 3.28, 4 Be 3.64
W 0.0000 0.5000 0.2500  4 W 2.57
W 0.0000 0.5000 0.7500  4 W 2.57
W 0.5000 0.0000 0.2500  4 W 2.57
W 0.5000 0.0000 0.7500  4 W 2.57

5.
SrY3Be: relaxed, PBE-GGA.

**Density**: 3.42 Mg/m³
**Raw total energy**: -16.79 eV for the cell shown
**Space-group type**: Pm-3m (221)
**M_tot**: 0.00 Bohr magnetons per cell

Cell lengths 5.6081, 5.6081, 5.6081 Å; angles 90.00, 90.00, 90.00 degrees
With the nearest neighbours (Å) after each atom.
Element x y z (fractional)
Sr 0.0000 0.0000 0.0000  6 Y 2.80
Y 0.0000 0.0000 0.5000  2 Sr 2.80
Y 0.0000 0.5000 0.0000  2 Sr 2.80
Y 0.5000 0.0000 0.0000  2 Sr 2.80
Be 0.5000 0.5000 0.5000  12 Y 3.97

6.
SrYBe2: relaxed, PBE-GGA.

**Density**: 2.99 Mg/m³
**Raw total energy**: -49.34 eV for the cell shown
**Space-group type**: I-42d (122)
**M_tot**: 0.00 Bohr magnetons per cell

Cell lengths 7.7401, 7.7401, 7.2161 Å; angles 90.00, 90.00, 90.00 degrees
With the nearest neighbours (Å) after each atom.
Element x y z (fractional)
Sr 0.0000 0.0000 0.0000  4 Be 3.04
Sr 0.0000 0.5000 0.2500  4 Be 3.04
Sr 0.5000 0.0000 0.7500  4 Be 3.04
Sr 0.5000 0.5000 0.5000  4 Be 3.04
Y 0.0000 0.0000 0.5000  4 Be 2.73
Y 0.0000 0.5000 0.7500  4 Be 2.73
Y 0.5000 0.0000 0.2500  4 Be 2.73
Y 0.5000 0.5000 0.0000  4 Be 2.73
Be 0.2202 0.2500 0.6250  2 Y 2.73, 2 Sr 3.04
Be 0.2500 0.7202 0.8750  2 Y 2.73, 2 Sr 3.04
Be 0.2500 0.7798 0.3750  2 Y 2.73, 2 Sr 3.04
Be 0.2798 0.2500 0.1250  2 Y 2.73, 2 Sr 3.04
Be 0.7202 0.7500 0.1250  2 Y 2.73, 2 Sr 3.04
Be 0.7500 0.2202 0.3750  2 Y 2.73, 2 Sr 3.04
Be 0.7500 0.2798 0.8750  2 Y 2.73, 2 Sr 3.04
Be 0.7798 0.7500 0.6250  2 Y 2.73, 2 Sr 3.04

7.
SrYBe2: relaxed, PBE-GGA.

**Density**: 3.35 Mg/m³
**Raw total energy**: -28.33 eV for the cell shown
**Space-group type**: Imm2 (44)
**M_tot**: 0.00 Bohr magnetons per cell

Cell lengths 3.5743, 4.5291, 11.8983 Å; angles 90.00, 90.00, 90.00 degrees
With the nearest neighbours (Å) after each atom.
Element x y z (fractional)
Sr 0.0000 0.0000 0.0000  6 Be 3.25-3.52, 2 Y 3.54, 2 Sr 3.57
Sr 0.5000 0.5000 0.5000  6 Be 3.25-3.52, 2 Y 3.54, 2 Sr 3.57
Y 0.0000 0.5000 0.7714  6 Be 2.85-2.93
Y 0.5000 0.0000 0.2714  6 Be 2.85-2.93
Be 0.0000 0.0000 0.6256  2 Be 2.16
Be 0.0000 0.5000 0.2270  2 Be 2.16
Be 0.5000 0.0000 0.7270  2 Be 2.16
Be 0.5000 0.5000 0.1256  2 Be 2.16

8.
Sr3YBe: relaxed, PBE-GGA.

**Density**: 2.12 Mg/m³
**Raw total energy**: -8.73 eV for the cell shown
**Space-group type**: Pm-3m (221)
**M_tot**: 3.35 Bohr magnetons per cell

Cell lengths 6.5665, 6.5665, 6.5665 Å; angles 90.00, 90.00, 90.00 degrees
With the nearest neighbours (Å) after each atom.
Element x y z (fractional)
Sr 0.0000 0.0000 0.5000  2 Y 3.28
Sr 0.0000 0.5000 0.0000  2 Y 3.28
Sr 0.5000 0.0000 0.0000  2 Y 3.28
Y 0.0000 0.0000 0.0000  6 Sr 3.28
Be 0.5000 0.5000 0.5000  12 Sr 4.64

Table of density of states at the Fermi level (states/eV per cell), in record order: 7.402 8.118 11.971 12.872 4.321 16.956 7.375 5.317